[1]
Crystalline Sc3Te at its relaxed geometry, computed with PBE-GGA.

Values from the calculation:
ΔE_f (raw) = -602 meV/atom
Spin magnetization = 0.00 μB/cell
VASP energy = -98.18 eV/cell

Lattice parameters (Å, degrees): 3.720 11.326 9.000 90.00 90.00 90.00
Space group Cmcm (No. 63)
Unique sites:
Sc (0.000, 0.053, 0.250) [4 per cell]
Sc (0.000, 0.367, 0.036) [8 per cell]
Te (0.000, 0.237, 0.750) [4 per cell]



[2]
Crystalline Pm2Tc2BC2 at its relaxed geometry, computed with PBE-GGA.

Values from the calculation:
Formation enthalpy at 0 K = -0.89 eV per formula unit
Spin magnetization = 0.00 μB/cell
VASP energy = -112.51 eV/cell

Lattice parameters (Å, degrees): 11.217 3.476 6.823 90.00 124.80 90.00
Space group C2/m (No. 12)
Unique sites:
Pm (0.065, 0.000, 0.341) [4 per cell]
Tc (0.207, 0.500, 0.099) [4 per cell]
B (0.000, 0.500, 0.000) [2 per cell]
C (0.178, 0.500, 0.751) [4 per cell]



- Look up the VASP energy of the first one.
  -98.18 eV/cell



- The highest VASP energy belongs to which entry?
  Sc3Te